Nd2SbIr | GGA-PBE | optimized geometry

Lattice parameters (Å, degrees): 6.266 4.327 8.572 90.00 110.75 90.00
Space group P2_1/m (No. 11)
Unique sites:
Nd 0.172 0.250 0.399 [2 per cell]
Nd 0.256 0.750 0.049 [2 per cell]
Sb 0.378 0.750 0.707 [2 per cell]
Ir 0.122 0.250 0.792 [2 per cell]

Values from the calculation:
total magnetic moment = 0.0 μB/cell
electronic total energy = -0.4779 Ry/atom
formation energy from raw total energies = -0.872 eV/atom
E above lowest polymorph = 0 meV/atom
calculated volume = 217 Å³ per cell

NdSb2Ir | GGA-PBE | optimized geometry

Lattice parameters (Å, degrees): 3.6385 3.6385 29.4240 90.00 90.00 120.00
Space group R-3m (No. 166, hexagonal axes)
Unique sites:
Nd 0.0000 0.0000 0.0000 [3 per cell]
Sb 0.0000 0.0000 0.1096 [6 per cell]
Ir 0.0000 0.0000 0.5000 [3 per cell]

Values from the calculation:
total magnetic moment = 0.0 μB/cell
electronic total energy = -0.4051 Ry/atom
formation energy from raw total energies = -0.043 eV/atom
calculated volume = 337 Å³ per cell

Nd6Sb3Ir | GGA-PBE | optimized geometry

Lattice parameters (Å, degrees): 6.819 8.542 12.909 90.00 121.07 90.00
Space group P2_1/c (No. 14)
Unique sites:
Nd 0.071 0.194 0.440 [4 per cell]
Nd 0.285 0.663 0.433 [4 per cell]
Nd 0.385 0.044 0.235 [4 per cell]
Sb 0.165 0.118 0.740 [4 per cell]
Sb 0.500 0.000 0.500 [2 per cell]
Ir 0.000 0.000 0.000 [2 per cell]

Values from the calculation:
total magnetic moment = 0.0 μB/cell
electronic total energy = -0.4246 Ry/atom
formation energy from raw total energies = -0.793 eV/atom
calculated volume = 644 Å³ per cell

Nd5Sb2Ir | GGA-PBE | optimized geometry

Lattice parameters (Å, degrees): 5.943 9.896 16.489 90.00 90.00 90.00
Space group Cmcm (No. 63)
Unique sites:
Nd 0.000 0.075 0.101 [8 per cell]
Nd 0.000 0.253 0.750 [4 per cell]
Nd 0.000 0.409 0.122 [8 per cell]
Sb 0.000 0.263 0.560 [8 per cell]
Ir 0.000 0.211 0.250 [4 per cell]

Values from the calculation:
total magnetic moment = 0.0 μB/cell
electronic total energy = -0.4162 Ry/atom
formation energy from raw total energies = -0.544 eV/atom
calculated volume = 970 Å³ per cell

NdSbIr | GGA-PBE | optimized geometry

Lattice parameters (Å, degrees): 7.413 4.607 8.001 90.00 90.00 90.00
Space group Pnma (No. 62)
Unique sites:
Nd 0.014 0.250 0.192 [4 per cell]
Sb 0.177 0.250 0.586 [4 per cell]
Ir 0.203 0.750 0.410 [4 per cell]

Values from the calculation:
total magnetic moment = 0.0 μB/cell
electronic total energy = -0.4980 Ry/atom
formation energy from raw total energies = -0.859 eV/atom
calculated volume = 273 Å³ per cell

Nd2ScSb3Ir4 | GGA-PBE | optimized geometry

Lattice parameters (Å, degrees): 4.317 4.317 11.519 90.00 90.00 90.00
Space group P-4m2 (No. 115)
Unique sites:
Nd 0.000 0.500 0.239 [2 per cell]
Sc 0.000 0.000 0.500 [1 per cell]
Sb 0.000 0.500 0.865 [2 per cell]
Sb 0.500 0.500 0.500 [1 per cell]
Ir 0.000 0.000 0.000 [1 per cell]
Ir 0.000 0.500 0.641 [2 per cell]
Ir 0.500 0.500 0.000 [1 per cell]

Values from the calculation:
total magnetic moment = 0.0 μB/cell
electronic total energy = -0.5208 Ry/atom
formation energy from raw total energies = -0.718 eV/atom
calculated volume = 215 Å³ per cell

Nd6SbTe3Ir2 | GGA-PBE | optimized geometry

Lattice parameters (Å, degrees): 19.512 4.340 9.043 90.00 106.10 90.00
Space group C2/m (No. 12)
Unique sites:
Nd 0.017 0.000 0.256 [4 per cell]
Nd 0.170 0.500 0.122 [4 per cell]
Nd 0.177 0.500 0.564 [4 per cell]
Sb 0.000 0.500 0.000 [2 per cell]
Te 0.000 0.500 0.500 [2 per cell]
Te 0.160 0.000 0.838 [4 per cell]
Ir 0.170 0.000 0.339 [4 per cell]

Values from the calculation:
total magnetic moment = 0.0 μB/cell
electronic total energy = -0.4492 Ry/atom
formation energy from raw total energies = -1.121 eV/atom
calculated volume = 736 Å³ per cell

Nd2ZnSb3Ir4 | GGA-PBE | optimized geometry

Lattice parameters (Å, degrees): 4.362 4.362 10.998 90.00 90.00 90.00
Space group P-4m2 (No. 115)
Unique sites:
Nd 0.000 0.500 0.241 [2 per cell]
Zn 0.500 0.500 0.000 [1 per cell]
Sb 0.000 0.000 0.000 [1 per cell]
Sb 0.000 0.500 0.637 [2 per cell]
Ir 0.000 0.000 0.500 [1 per cell]
Ir 0.000 0.500 0.869 [2 per cell]
Ir 0.500 0.500 0.500 [1 per cell]

Values from the calculation:
total magnetic moment = 0.0 μB/cell
electronic total energy = -0.4745 Ry/atom
formation energy from raw total energies = -0.594 eV/atom
calculated volume = 209 Å³ per cell

NdScIr | GGA-PBE | optimized geometry

Lattice parameters (Å, degrees): 4.460 4.551 7.030 90.00 94.34 90.00
Space group P2_1/m (No. 11)
Unique sites:
Nd 0.238 0.250 0.370 [2 per cell]
Sc 0.258 0.750 0.002 [2 per cell]
Ir 0.203 0.250 0.778 [2 per cell]

Values from the calculation:
total magnetic moment = 0.0 μB/cell
electronic total energy = -0.5391 Ry/atom
E above lowest polymorph = 0 meV/atom
calculated volume = 142 Å³ per cell
energy of formation from the pure elements = -0.681 eV/atom

NdSc3Ir | GGA-PBE | optimized geometry

Lattice parameters (Å, degrees): 5.120 5.120 5.120 90.00 90.00 90.00
Space group Pm-3m (No. 221)
Unique sites:
Nd 0.000 0.000 0.000 [1 per cell]
Sc 0.000 0.500 0.500 [3 per cell]
Ir 0.500 0.500 0.500 [1 per cell]

Values from the calculation:
total magnetic moment = 0.0 μB/cell
electronic total energy = -0.5043 Ry/atom
calculated volume = 134 Å³ per cell
energy of formation from the pure elements = -0.336 eV/atom

NdSc5Ir4 | GGA-PBE | optimized geometry

Lattice parameters (Å, degrees): 3.233 3.233 18.403 90.00 90.00 90.00
Space group P4/mmm (No. 123)
Unique sites:
Nd 0.000 0.000 0.000 [1 per cell]
Sc 0.500 0.500 0.149 [2 per cell]
Sc 0.500 0.500 0.323 [2 per cell]
Sc 0.500 0.500 0.500 [1 per cell]
Ir 0.000 0.000 0.232 [2 per cell]
Ir 0.000 0.000 0.411 [2 per cell]

Values from the calculation:
total magnetic moment = 0.0 μB/cell
electronic total energy = -0.5882 Ry/atom
calculated volume = 192 Å³ per cell
energy of formation from the pure elements = -0.816 eV/atom

NdScIr | GGA-PBE | optimized geometry

Lattice parameters (Å, degrees): 4.1748 4.1748 5.4011 90.00 90.00 120.00
Space group P3m1 (No. 156)
Unique sites:
Nd 0.0000 0.0000 0.0000 [1 per cell]
Sc 0.6667 0.3333 0.5210 [1 per cell]
Ir 0.3333 0.6667 0.7083 [1 per cell]

Values from the calculation:
total magnetic moment = 0.0 μB/cell
electronic total energy = -0.5216 Ry/atom
E above lowest polymorph = 237 meV/atom
calculated volume = 82 Å³ per cell
energy of formation from the pure elements = -0.443 eV/atom